NdMoAs: optimized geometry, GGA-PBE.

Calculated values
**Total energy**: -7.0889 eV per atom
**ΔE_f**: -0.339 eV per atom
**Magnetization**: 0.00 μB/f.u.
**N(E_F)**: 2.36 states/eV/f.u.

Unit cell a=4.1688 b=3.9579 c=10.6178 alpha=80.94 beta=90.00 gamma=121.78
With the nearest neighbours (Å) after each atom.
Sites, in units of the cell vectors:
Mo: 0.1344 0.2689 0.0692  1 Mo 2.53, 4 As 2.59-2.60
Mo: 0.8656 0.7311 0.9308  1 Mo 2.53, 4 As 2.59-2.60
Nd: 0.3643 0.7287 0.3528  3 As 2.92-2.97
Nd: 0.6357 0.2713 0.6472  3 As 2.92-2.97
As: 0.2448 0.4897 0.8212  4 Mo 2.59-2.60
As: 0.7552 0.5103 0.1788  4 Mo 2.59-2.60